No. 1
Computed, not measured: a relaxed ZnCu2As crystal at the GGA-PBE level of DFT.

```
ZnCu2As
1.0
-3.289 -3.459 -6.648
-3.034 -5.797 -4.915
-5.361 -4.047 -4.674
Cu As Zn
2 1 1
Direct
0.998 0.998 0.998
0.252 0.252 0.252
0.745 0.745 0.745
0.505 0.505 0.505
```

Values from the calculation:
Calculated formation energy   0.154 eV/atom
E_tot   -3.375 eV/atom
Energy above the lowest structure with this stoichiometry   106.6 meV per atom
Space-group type   R3m, No. 160
D(E_F)   0.47 states/eV per atom
Mass density   7.50 g cm⁻³

No. 2
Computed, not measured: a relaxed ZnCu2As crystal at the GGA-PBE level of DFT.

```
ZnCu2As
1.0
-1.861 -2.809 2.297
2.210 -2.577 2.259
-0.012 1.009 4.844
Cu Zn As
2 1 1
Direct
0.272 0.272 0.185
0.076 0.076 0.773
0.676 0.676 0.971
0.476 0.476 0.571
```

Values from the calculation:
Calculated formation energy   0.108 eV/atom
E_tot   -3.421 eV/atom
Energy above the lowest structure with this stoichiometry   60.9 meV per atom
Space-group type   R3m, No. 160
D(E_F)   0.37 states/eV per atom
Mass density   7.08 g cm⁻³

No. 3
Computed, not measured: a relaxed ZnCu2As crystal at the GGA-PBE level of DFT.

```
ZnCu2As
1.0
-1.414 4.706 -0.267
-1.877 3.599 -2.781
-4.291 -0.535 1.026
Zn Cu As
1 2 1
Direct
0.492 0.492 0.527
0.007 0.007 0.005
0.735 0.735 0.744
0.266 0.266 0.223
```

Values from the calculation:
Calculated formation energy   0.083 eV/atom
E_tot   -3.446 eV/atom
Energy above the lowest structure with this stoichiometry   35.6 meV per atom
Space-group type   Cm, No. 8
D(E_F)   0.22 states/eV per atom
Mass density   7.69 g cm⁻³

No. 4
Computed, not measured: a relaxed ZnCu2As crystal at the GGA-PBE level of DFT.

```
ZnCu2As
1.0
-2.232 3.529 -2.245
-4.681 -0.750 -0.068
3.211 -0.061 3.488
Zn Cu As
1 2 1
Direct
0.250 0.750 0.500
0.500 0.500 0.000
0.000 0.000 0.000
0.750 0.250 0.500
```

Values from the calculation:
Calculated formation energy   0.073 eV/atom
E_tot   -3.456 eV/atom
Energy above the lowest structure with this stoichiometry   25.8 meV per atom
Space-group type   I4/mmm, No. 139
D(E_F)   0.19 states/eV per atom
Mass density   7.84 g cm⁻³

No. 5
Computed, not measured: a relaxed ZnCuAs2 crystal at the GGA-PBE level of DFT.

```
ZnCuAs2
1.0
-3.727 -0.473 -0.318
0.466 -0.564 -4.613
0.434 -3.760 0.504
Zn As Cu
1 2 1
Direct
0.000 0.500 0.500
0.000 0.000 0.000
0.500 0.500 0.000
0.500 0.000 0.500
```

Values from the calculation:
Calculated formation energy   0.255 eV/atom
E_tot   -3.413 eV/atom
Space-group type   Pmmm, No. 47
D(E_F)   0.31 states/eV per atom
Mass density   6.88 g cm⁻³

No. 6
Computed, not measured: a relaxed ZnCuAs2 crystal at the GGA-PBE level of DFT.

```
ZnCuAs2
1.0
2.921 0.039 0.000
-1.576 2.459 0.000
0.000 0.000 9.626
As Zn Cu
2 1 1
Direct
0.500 0.500 0.299
0.000 0.000 0.961
0.500 0.500 0.726
0.000 0.000 0.514
```

Values from the calculation:
Calculated formation energy   0.201 eV/atom
E_tot   -3.466 eV/atom
Space-group type   Cmm2, No. 35
D(E_F)   0.36 states/eV per atom
Mass density   6.64 g cm⁻³